# Sr2CuAg2 GGA-PBE relaxed
# **Energy of formation from the pure elements**: -0.18 eV per formula unit
# **Distance to the lowest polymorph of the same formula**: 185 meV per atom
data_Sr2CuAg2
_chemical_formula_sum 'Sr4 Cu2 Ag4'
_cell_length_a 3.929
_cell_length_b 3.929
_cell_length_c 18.154
_cell_angle_alpha 90.00
_cell_angle_beta 90.00
_cell_angle_gamma 90.00
_space_group_name_H-M_alt 'I 4/m m m'
_space_group_IT_number 139
_space_group_name_Hall '-I 4 2'
loop_
_atom_site_label
_atom_site_fract_x
_atom_site_fract_y
_atom_site_fract_z
_atom_site_occupancy
Sr1 0.000 0.000 0.101 1
Cu1 0.000 0.000 0.500 1
Ag1 0.000 0.500 0.250 1

***

# KIrOs GGA-PBE relaxed
# **Energy of formation from the pure elements**: 5.18 eV per formula unit
# **Distance to the lowest polymorph of the same formula**: 1262 meV per atom
data_KIrOs
_chemical_formula_sum 'K4 Ir4 Os4'
_cell_length_a 6.280
_cell_length_b 6.280
_cell_length_c 6.280
_cell_angle_alpha 90.00
_cell_angle_beta 90.00
_cell_angle_gamma 90.00
_space_group_name_H-M_alt 'F -4 3 m'
_space_group_IT_number 216
_space_group_name_Hall 'F -4 2 3'
loop_
_atom_site_label
_atom_site_fract_x
_atom_site_fract_y
_atom_site_fract_z
_atom_site_occupancy
K1 0.000 0.000 0.000 1
Ir1 0.000 0.000 0.500 1
Os1 0.250 0.250 0.250 1

***

# NbSiN2F GGA-PBE relaxed
# **Raw formation energy**: -155 meV/atom
# **Distance to the lowest polymorph of the same formula**: 251 meV per atom
data_NbSiN2F
_chemical_formula_sum 'Nb1 Si1 N2 F1'
_cell_length_a 4.119
_cell_length_b 4.119
_cell_length_c 4.029
_cell_angle_alpha 90.00
_cell_angle_beta 90.00
_cell_angle_gamma 90.00
_space_group_name_H-M_alt 'P 4/m m m'
_space_group_IT_number 123
_space_group_name_Hall '-P 4 2'
loop_
_atom_site_label
_atom_site_fract_x
_atom_site_fract_y
_atom_site_fract_z
_atom_site_occupancy
Nb1 0.000 0.000 0.000 1
Si1 0.500 0.500 0.500 1
N1 0.000 0.500 0.000 1
F1 0.000 0.000 0.500 1

***

# KTe2Au GGA-PBE relaxed
# **Raw formation energy**: -115 meV/atom
data_KTe2Au
_chemical_formula_sum 'K1 Te2 Au1'
_cell_length_a 4.681
_cell_length_b 4.841
_cell_length_c 4.865
_cell_angle_alpha 90.00
_cell_angle_beta 90.00
_cell_angle_gamma 90.00
_space_group_name_H-M_alt 'P m m m'
_space_group_IT_number 47
loop_
_space_group_symop_operation_xyz
'x,y,z'
'-x,-y,-z'
'-x,-y,z'
'x,y,-z'
'x,-y,-z'
'-x,y,z'
'-x,y,-z'
'x,-y,z'
loop_
_atom_site_label
_atom_site_fract_x
_atom_site_fract_y
_atom_site_fract_z
_atom_site_occupancy
K1 0.000 0.000 0.000 1
Te1 0.500 0.000 0.500 1
Te2 0.500 0.500 0.000 1
Au1 0.000 0.500 0.500 1

***

# CSe2 GGA-PBE relaxed
# **Raw formation energy**: 1344 meV/atom
# **Distance to the lowest polymorph of the same formula**: 784 meV per atom
data_CSe2
_chemical_formula_sum 'C4 Se8'
_cell_length_a 8.752
_cell_length_b 11.324
_cell_length_c 2.951
_cell_angle_alpha 90.00
_cell_angle_beta 90.00
_cell_angle_gamma 90.00
_space_group_name_H-M_alt 'C m m m'
_space_group_IT_number 65
_space_group_name_Hall '-C 2 2'
loop_
_atom_site_label
_atom_site_fract_x
_atom_site_fract_y
_atom_site_fract_z
_atom_site_occupancy
C1 0.000 0.146 0.000 1
Se1 0.000 0.000 0.500 1
Se2 0.000 0.256 0.500 1
Se3 0.000 0.500 0.000 1

***

# KScSi2 GGA-PBE relaxed
# **Raw formation energy**: -193 meV/atom
# **Distance to the lowest polymorph of the same formula**: 56 meV per atom
data_KScSi2
_chemical_formula_sum 'K2 Sc2 Si4'
_cell_length_a 3.637
_cell_length_b 4.363
_cell_length_c 13.642
_cell_angle_alpha 90.00
_cell_angle_beta 90.00
_cell_angle_gamma 90.00
_space_group_name_H-M_alt 'I m m 2'
_space_group_IT_number 44
loop_
_space_group_symop_operation_xyz
'x,y,z'
'-x,-y,z'
'-x,y,z'
'x,-y,z'
'x+1/2,y+1/2,z+1/2'
'-x+1/2,-y+1/2,z+1/2'
'-x+1/2,y+1/2,z+1/2'
'x+1/2,-y+1/2,z+1/2'
loop_
_atom_site_label
_atom_site_fract_x
_atom_site_fract_y
_atom_site_fract_z
_atom_site_occupancy
K1 0.000 0.000 0.000 1
Sc1 0.000 0.500 0.755 1
Si1 0.000 0.000 0.642 1
Si2 0.000 0.500 0.259 1

***

# KCo2AuBr8 GGA-PBE relaxed
# **Raw formation energy**: -445 meV/atom
data_KCo2AuBr8
_chemical_formula_sum 'K3 Co6 Au3 Br24'
_cell_length_a 6.6825
_cell_length_b 6.6825
_cell_length_c 29.4868
_cell_angle_alpha 90.00
_cell_angle_beta 90.00
_cell_angle_gamma 120.00
_space_group_name_H-M_alt 'R -3'
_space_group_IT_number 148
_space_group_name_Hall '-R 3'
loop_
_atom_site_label
_atom_site_fract_x
_atom_site_fract_y
_atom_site_fract_z
_atom_site_occupancy
K1 0.0000 0.0000 0.0000 1
Co1 0.0000 0.0000 0.2473 1
Au1 0.0000 0.0000 0.5000 1
Br1 0.0000 0.0000 0.3261 1
Br2 0.0032 0.6640 0.5559 1

***

# La8Y3Mg GGA-PBE relaxed
# **Energy of formation from the pure elements**: 5.64 eV per formula unit
data_La8Y3Mg
_chemical_formula_sum 'La16 Y6 Mg2'
_cell_length_a 8.760
_cell_length_b 8.760
_cell_length_c 11.849
_cell_angle_alpha 90.00
_cell_angle_beta 90.00
_cell_angle_gamma 90.00
_space_group_name_H-M_alt 'I -4 2 m'
_space_group_IT_number 121
_space_group_name_Hall 'I -4 2'
loop_
_atom_site_label
_atom_site_fract_x
_atom_site_fract_y
_atom_site_fract_z
_atom_site_occupancy
La1 0.135 0.135 0.255 1
La2 0.243 0.243 0.529 1
Y1 0.000 0.000 0.000 1
Y2 0.000 0.500 0.250 1
Mg1 0.000 0.000 0.500 1

***

Result set for electronic total energy: -2.669, -5.334, -6.958, -2.780, -4.053, -4.762, -3.109, -4.564 eV/atom, one per record in the order listed.